Entry 1:
## Dy3YTh4 (PBE)

Data for an optimized crystal structure of Dy3YTh4.

Output
Symmetry: P-1, No. 2
E_tot in eV for the cell shown: -48.81
Magnetic moment in Bohr magnetons per cell: 0.00

a = 3.478 Å, b = 8.810 Å, c = 8.823 Å
α = 78.57°, β = 79.75°, γ = 79.81°
Fractional positions:
Dy: 0.000 0.000 0.000
Dy: 0.070 0.253 0.252
Dy: 0.930 0.747 0.748
Y: 0.500 0.500 0.500
Th: 0.378 0.121 0.626
Th: 0.381 0.626 0.120
Th: 0.619 0.374 0.880
Th: 0.622 0.879 0.374


Entry 2:
## Dy3Y6Th (PBE)

Data for an optimized crystal structure of Dy3Y6Th.

Output
Symmetry: P2_1/c, No. 14
Magnetic moment in Bohr magnetons per cell: 0.00
Relative energy among the computed polymorphs in kJ/mol of atoms: 2.9

a = 9.976 Å, b = 6.350 Å, c = 11.898 Å
α = 90.00°, β = 119.01°, γ = 90.00°
Fractional positions:
Dy: 0.000 0.000 0.000
Dy: 0.000 0.500 0.500
Dy: 0.264 0.222 0.213
Dy: 0.264 0.278 0.713
Dy: 0.736 0.722 0.287
Dy: 0.736 0.778 0.787
Y: 0.077 0.004 0.373
Y: 0.077 0.496 0.873
Y: 0.313 0.505 0.459
Y: 0.313 0.995 0.959
Y: 0.373 0.715 0.215
Y: 0.373 0.785 0.715
Y: 0.627 0.215 0.285
Y: 0.627 0.285 0.785
Y: 0.687 0.005 0.041
Y: 0.687 0.495 0.541
Y: 0.923 0.504 0.127
Y: 0.923 0.996 0.627
Th: 0.500 0.000 0.500
Th: 0.500 0.500 0.000


What did the first record say?
## Dy3YTh4 (PBE)

Data for an optimized crystal structure of Dy3YTh4.

Output
Symmetry: P-1, No. 2
E_tot in eV for the cell shown: -48.81
Magnetic moment in Bohr magnetons per cell: 0.00

a = 3.478 Å, b = 8.810 Å, c = 8.823 Å
α = 78.57°, β = 79.75°, γ = 79.81°
Fractional positions:
Dy: 0.000 0.000 0.000
Dy: 0.070 0.253 0.252
Dy: 0.930 0.747 0.748
Y: 0.500 0.500 0.500
Th: 0.378 0.121 0.626
Th: 0.381 0.626 0.120
Th: 0.619 0.374 0.880
Th: 0.622 0.879 0.374